(1)
! PBE LiEr4Hg7, relaxed; values from VASP
&SYSTEM
  ibrav = 0, nat = 12, ntyp = 3
/
ATOMIC_SPECIES
Er 167.26 Er.upf
Hg 200.59 Hg.upf
Li 6.94 Li.upf
ATOMIC_POSITIONS crystal
Er 0.7342 0.6848 0.8468
Hg 0.5000 0.0000 0.0000
Li 0.0000 0.0000 0.0000
Hg 0.3629 0.5315 0.7426
Hg 0.9241 0.3344 0.8173
Hg 0.8032 0.9201 0.4735
Er 0.2658 0.3152 0.1532
Hg 0.0759 0.6656 0.1827
Er 0.4191 0.7758 0.3860
Hg 0.6371 0.4685 0.2574
Hg 0.1968 0.0799 0.5265
Er 0.5809 0.2242 0.6140
CELL_PARAMETERS angstrom
-4.3573 2.3301 1.6765
-4.4818 -6.5285 5.5453
0.7762 2.8138 6.2263
! Total magnetic moment, μB per cell: 0.0
! Symmetry: C2/m
! Uncorrected energy, eV for the cell shown: -26.03
! Volume, Å³/cell: 307.5
! Formation energy from the elements, eV/atom: -0.3126



(2)
! PBE LiErMg2Hg4, relaxed; values from VASP
&SYSTEM
  ibrav = 0, nat = 8, ntyp = 4
/
ATOMIC_SPECIES
Hg 200.59 Hg.upf
Mg 24.30 Mg.upf
Er 167.26 Er.upf
Li 6.94 Li.upf
ATOMIC_POSITIONS crystal
Hg 0.1283 0.1283 0.6151
Hg 0.6188 0.6188 0.1436
Mg 0.7519 0.7519 0.7444
Hg 0.3812 0.3812 0.8564
Er 0.0000 0.0000 0.0000
Mg 0.2481 0.2481 0.2556
Hg 0.8717 0.8717 0.3849
Li 0.5000 0.5000 0.5000
CELL_PARAMETERS angstrom
-0.6194 -4.7867 -0.8852
2.1769 -3.3285 2.8744
-6.1140 -2.7632 5.6192
! Total magnetic moment, μB per cell: 0.0
! Symmetry: R-3m
! Uncorrected energy, eV for the cell shown: -13.72
! Volume, Å³/cell: 172.7
! Formation energy from the elements, eV/atom: -0.3562



(3)
! PBE Li2ErMgHg4, relaxed; values from VASP
&SYSTEM
  ibrav = 0, nat = 8, ntyp = 4
/
ATOMIC_SPECIES
Li 6.94 Li.upf
Hg 200.59 Hg.upf
Mg 24.30 Mg.upf
Er 167.26 Er.upf
ATOMIC_POSITIONS crystal
Li 0.2431 0.2431 0.2708
Hg 0.1235 0.1235 0.6295
Mg 0.5000 0.5000 0.5000
Er 0.0000 0.0000 0.0000
Hg 0.3828 0.3828 0.8517
Li 0.7569 0.7569 0.7292
Hg 0.6172 0.6172 0.1483
Hg 0.8765 0.8765 0.3705
CELL_PARAMETERS angstrom
4.8168 0.0000 0.0000
2.4084 4.1714 0.0000
2.4084 1.3905 8.4367
! Total magnetic moment, μB per cell: 0.0
! Symmetry: R-3m
! Uncorrected energy, eV for the cell shown: -13.99
! Volume, Å³/cell: 169.5
! Formation energy from the elements, eV/atom: -0.3500